Record 1
An optimized crystal structure of NaAc2Tm. Source: the Alexandria database, functional PBE.

a = 4.0108 Å, b = 6.1961 Å, c = 6.1961 Å
α = 90.00°, β = 90.00°, γ = 90.00°
Closest atoms and distances in Å follow each position.
Fractional coordinates of all 4 atoms:
Ac 0.0000 0.5000 0.0000  4 Tm 3.69, 4 Na 3.69, 2 Ac 4.01
Ac 0.0000 0.0000 0.5000  4 Na 3.69, 4 Tm 3.69, 2 Ac 4.01
Na 0.5000 0.5000 0.5000  8 Ac 3.69, 2 Na 4.01
Tm 0.5000 0.0000 0.0000  8 Ac 3.69, 2 Tm 4.01

Calculated values
The formation energy from the elements is 154 meV/atom. The calculation puts the electronic total energy at -3.35 eV per atom.


Record 2
An optimized crystal structure of NaAcY. Source: the Alexandria database, functional PBE.

a = 5.7472 Å, b = 5.7384 Å, c = 10.0332 Å
α = 89.77°, β = 73.50°, γ = 59.98°
Closest atoms and distances in Å follow each position.
Fractional coordinates of all 6 atoms:
Na 0.7536 0.3956 0.9044  1 Y 3.79, 4 Ac 3.79-4.00, 3 Na 3.92-3.99
Na 0.5774 0.9806 0.6772  4 Ac 3.79-4.00, 1 Y 3.79, 3 Na 3.92-3.99
Y 0.4899 0.5259 0.3042  3 Y 3.32-3.33, 2 Ac 3.72
Y 0.8413 0.8501 0.2774  3 Y 3.32-3.33, 2 Ac 3.72
Ac 0.2911 0.1263 0.0993  1 Ac 3.63, 6 Y 3.72-3.85, 4 Na 3.79-4.00
Ac 0.0401 0.2497 0.4822  1 Ac 3.63, 6 Y 3.72-3.85, 4 Na 3.79-4.00

Calculated values
The formation energy from the elements is 342 meV/atom. The calculation puts the electronic total energy at -3.62 eV per atom.


Record 3
An optimized crystal structure of NaAcY. Source: the Alexandria database, functional PBE.

a = 3.7430 Å, b = 3.7430 Å, c = 8.6570 Å
α = 102.48°, β = 102.48°, γ = 90.00°
Closest atoms and distances in Å follow each position.
Fractional coordinates of all 3 atoms:
Na 0.3271 0.3271 0.6541  4 Na 3.74, 4 Y 3.76, 4 Ac 3.99
Y 0.6648 0.6648 0.3295  4 Ac 3.70, 4 Y 3.74, 4 Na 3.76
Ac 0.0082 0.0082 0.0163  4 Y 3.70, 4 Ac 3.74, 4 Na 3.99

Calculated values
The formation energy from the elements is 165 meV/atom. The calculation puts the electronic total energy at -3.80 eV per atom.


Record 4
An optimized crystal structure of NaAcY. Source: the Alexandria database, functional PBE.

a = 3.8084 Å, b = 3.8084 Å, c = 18.6417 Å
α = 84.14°, β = 84.14°, γ = 60.00°
Closest atoms and distances in Å follow each position.
Fractional coordinates of all 6 atoms:
Ac 0.4125 0.4125 0.7624  3 Y 3.72, 6 Ac 3.81, 3 Na 3.97
Ac 0.5875 0.5875 0.2376  3 Y 3.72, 6 Ac 3.81, 3 Na 3.97
Na 0.8053 0.8053 0.5840  9 Na 3.81, 3 Ac 3.97
Na 0.1947 0.1947 0.4160  9 Na 3.81, 3 Ac 3.97
Y 0.6919 0.6919 0.9243  9 Y 3.56-3.81, 3 Ac 3.72
Y 0.3081 0.3081 0.0757  9 Y 3.56-3.81, 3 Ac 3.72

Calculated values
The formation energy from the elements is 59 meV/atom. The calculation puts the electronic total energy at -3.91 eV per atom.


Record 5
An optimized crystal structure of NaAcY. Source: the Alexandria database, functional PBE.

a = 3.7711 Å, b = 3.7711 Å, c = 9.4058 Å
α = 90.00°, β = 90.00°, γ = 120.00°
Closest atoms and distances in Å follow each position.
Fractional coordinates of all 3 atoms:
Na 0.0000 0.0000 0.9910  6 Na 3.77, 3 Y 3.79, 3 Ac 4.00
Y 0.3333 0.6667 0.6610  3 Ac 3.66, 6 Y 3.77, 3 Na 3.79
Ac 0.6667 0.3333 0.3480  3 Y 3.66, 6 Ac 3.77, 3 Na 4.00

Calculated values
The formation energy from the elements is 148 meV/atom. The calculation puts the electronic total energy at -3.82 eV per atom.


Record 6
An optimized crystal structure of Na2Ac2Zn15. Source: the Alexandria database, functional PBE.

a = 7.0921 Å, b = 7.0921 Å, c = 7.0921 Å
α = 84.53°, β = 84.53°, γ = 84.53°
Closest atoms and distances in Å follow each position.
Fractional coordinates of all 19 atoms:
Zn 0.5000 0.0000 0.0000  8 Zn 2.67-2.80, 2 Na 2.91
Zn 0.6516 0.6516 0.1652  8 Zn 2.69-2.83
Zn 0.0000 0.3003 0.6997  8 Zn 2.67-2.86
Zn 0.0000 0.6997 0.3003  8 Zn 2.67-2.86
Zn 0.3003 0.6997 0.0000  8 Zn 2.67-2.86
Zn 0.0000 0.5000 0.0000  8 Zn 2.67-2.80, 2 Na 2.91
Zn 0.1652 0.6516 0.6516  8 Zn 2.69-2.83
Zn 0.3484 0.3484 0.8348  8 Zn 2.69-2.83
Zn 0.6997 0.3003 0.0000  8 Zn 2.67-2.86
Zn 0.8348 0.3484 0.3484  8 Zn 2.69-2.83
Zn 0.3484 0.8348 0.3484  8 Zn 2.69-2.83
Zn 0.6516 0.1652 0.6516  8 Zn 2.69-2.83
Zn 0.6997 0.0000 0.3003  8 Zn 2.67-2.86
Zn 0.3003 0.0000 0.6997  8 Zn 2.67-2.86
Zn 0.0000 0.0000 0.5000  8 Zn 2.67-2.80, 2 Na 2.91
Ac 0.6584 0.6584 0.6584  1 Na 3.29, 18 Zn 3.33-3.62
Ac 0.3416 0.3416 0.3416  1 Na 3.29, 18 Zn 3.33-3.62
Na 0.0959 0.0959 0.0959  1 Na 2.57
Na 0.9041 0.9041 0.9041  1 Na 2.57

Calculated values
The formation energy from the elements is -163 meV/atom. The calculation puts the electronic total energy at -1.74 eV per atom.


Record 7
An optimized crystal structure of NaAcZn2. Source: the Alexandria database, functional PBE.

a = 3.7392 Å, b = 5.4410 Å, c = 5.4410 Å
α = 90.00°, β = 90.00°, γ = 90.00°
Closest atoms and distances in Å follow each position.
Fractional coordinates of all 4 atoms:
Zn 0.0000 0.5000 0.0000  4 Ac 3.30, 4 Na 3.30
Zn 0.0000 0.0000 0.5000  4 Ac 3.30, 4 Na 3.30
Ac 0.5000 0.5000 0.5000  8 Zn 3.30
Na 0.5000 0.0000 0.0000  8 Zn 3.30

Calculated values
The formation energy from the elements is -42 meV/atom. The calculation puts the electronic total energy at -2.04 eV per atom.


Record 8
An optimized crystal structure of NaAc3Zn2. Source: the Alexandria database, functional PBE.

a = 3.9402 Å, b = 3.9402 Å, c = 13.0309 Å
α = 90.00°, β = 90.00°, γ = 90.00°
Closest atoms and distances in Å follow each position.
Fractional coordinates of all 6 atoms:
Zn 0.5000 0.5000 0.1510  8 Ac 3.33-3.41
Zn 0.5000 0.5000 0.8490  8 Ac 3.33-3.41
Ac 0.0000 0.0000 0.0000  8 Zn 3.41, 2 Ac 3.79
Ac 0.0000 0.0000 0.2910  4 Zn 3.33
Ac 0.0000 0.0000 0.7090  4 Zn 3.33
Na 0.5000 0.5000 0.5000  8 Ac 3.90, 4 Na 3.94

Calculated values
The formation energy from the elements is -113 meV/atom. The calculation puts the electronic total energy at -2.81 eV per atom.


Record 9
An optimized crystal structure of NaAc5Zn4. Source: the Alexandria database, functional PBE.

a = 3.9237 Å, b = 3.9237 Å, c = 20.9304 Å
α = 90.00°, β = 90.00°, γ = 90.00°
Closest atoms and distances in Å follow each position.
Fractional coordinates of all 10 atoms:
Zn 0.0000 0.0000 0.5938  8 Ac 3.39-3.40
Zn 0.0000 0.0000 0.7807  8 Ac 3.33-3.40
Zn 0.0000 0.0000 0.2193  8 Ac 3.33-3.40
Zn 0.0000 0.0000 0.4062  8 Ac 3.39-3.40
Ac 0.5000 0.5000 0.5000  8 Zn 3.40
Ac 0.5000 0.5000 0.6868  8 Zn 3.39-3.40
Ac 0.5000 0.5000 0.8688  4 Zn 3.33
Ac 0.5000 0.5000 0.1312  4 Zn 3.33
Ac 0.5000 0.5000 0.3132  8 Zn 3.39-3.40
Na 0.0000 0.0000 0.0000  8 Ac 3.90, 4 Na 3.92

Calculated values
The formation energy from the elements is -162 meV/atom. The calculation puts the electronic total energy at -2.86 eV per atom.


Record 10
An optimized crystal structure of NaAcZr. Source: the Alexandria database, functional PBE.

a = 8.5829 Å, b = 3.5157 Å, c = 18.1907 Å
α = 112.76°, β = 154.66°, γ = 78.14°
Closest atoms and distances in Å follow each position.
Fractional coordinates of all 6 atoms:
Ac 0.3353 0.7466 0.5817  4 Zr 3.45-3.59, 4 Ac 3.52-3.76, 4 Na 3.78-3.79
Ac 0.6647 0.2534 0.4183  4 Zr 3.45-3.59, 4 Ac 3.52-3.76, 4 Na 3.78-3.79
Zr 0.2898 0.2786 0.0871  2 Zr 3.06
Zr 0.7102 0.7214 0.9129  2 Zr 3.06
Na 0.9275 0.7127 0.2134  1 Na 2.99
Na 0.0725 0.2873 0.7866  1 Na 2.99

Calculated values
The formation energy from the elements is 322 meV/atom. The calculation puts the electronic total energy at -4.34 eV per atom.


Record 11
An optimized crystal structure of NaAc2Zr. Source: the Alexandria database, functional PBE.

a = 3.5788 Å, b = 3.5788 Å, c = 13.4256 Å
α = 82.34°, β = 82.34°, γ = 60.00°
Closest atoms and distances in Å follow each position.
Fractional coordinates of all 4 atoms:
Ac 0.0806 0.0806 0.7583  1 Zr 3.21, 6 Ac 3.58
Ac 0.9194 0.9194 0.2417  1 Zr 3.21, 6 Ac 3.58
Zr 0.0000 0.0000 0.0000  2 Ac 3.21, 6 Zr 3.58
Na 0.5000 0.5000 0.5000  6 Na 3.58, 6 Ac 4.00

Calculated values
The formation energy from the elements is 524 meV/atom. The calculation puts the electronic total energy at -4.00 eV per atom.


Record 12
An optimized crystal structure of Ac4Nb. Source: the Alexandria database, functional PBE.

a = 5.9843 Å, b = 5.9843 Å, c = 5.9843 Å
α = 90.00°, β = 90.00°, γ = 90.00°
Closest atoms and distances in Å follow each position.
Fractional coordinates of all 5 atoms:
Nb 0.5000 0.5000 0.5000  6 Ac 2.99
Ac 0.5000 0.0000 0.5000  2 Nb 2.99
Ac 0.0000 0.0000 0.0000  12 Ac 4.23
Ac 0.5000 0.5000 0.0000  2 Nb 2.99
Ac 0.0000 0.5000 0.5000  2 Nb 2.99

Calculated values
The formation energy from the elements is 442 meV/atom. The calculation puts the electronic total energy at -4.86 eV per atom.


Record 13
An optimized crystal structure of AcNb3. Source: the Alexandria database, functional PBE.

a = 4.9810 Å, b = 4.9810 Å, c = 4.9810 Å
α = 60.00°, β = 60.00°, γ = 60.00°
Closest atoms and distances in Å follow each position.
Fractional coordinates of all 4 atoms:
Nb 0.2500 0.2500 0.2500  4 Ac 3.05, 4 Nb 3.05
Nb 0.5000 0.5000 0.5000  8 Nb 3.05
Nb 0.7500 0.7500 0.7500  4 Ac 3.05, 4 Nb 3.05
Ac 0.0000 0.0000 0.0000  8 Nb 3.05

Calculated values
The formation energy from the elements is 557 meV/atom. The calculation puts the electronic total energy at -8.02 eV per atom.


Record 14
An optimized crystal structure of Ac2NdNb. Source: the Alexandria database, functional PBE.

a = 3.5521 Å, b = 3.5521 Å, c = 12.6423 Å
α = 81.92°, β = 81.92°, γ = 60.00°
Closest atoms and distances in Å follow each position.
Fractional coordinates of all 4 atoms:
Ac 0.0805 0.0805 0.7584  1 Nb 3.01
Ac 0.9195 0.9195 0.2416  1 Nb 3.01
Nb 0.0000 0.0000 0.0000  2 Ac 3.01
Nd 0.5000 0.5000 0.5000  6 Nd 3.55, 6 Ac 3.82

Calculated values
The formation energy from the elements is 787 meV/atom. The calculation puts the electronic total energy at -4.98 eV per atom.


Record 15
An optimized crystal structure of AcNd2NbO8. Source: the Alexandria database, functional PBE.

a = 4.0022 Å, b = 5.7259 Å, c = 7.5995 Å
α = 87.36°, β = 87.07°, γ = 90.76°
Closest atoms and distances in Å follow each position.
Fractional coordinates of all 12 atoms:
O 0.4965 0.7368 0.5035  2 Nd 2.33-2.34, 2 Ac 2.50-2.51
O 0.0006 0.2516 0.1945  1 Nb 2.11, 1 O 2.19
O 0.5471 0.8030 0.9717  1 Nb 2.15, 2 O 2.19-2.35
O 0.0271 0.7708 0.2065  1 Nb 2.01
O 0.9994 0.7484 0.8055  1 Nb 2.11, 1 O 2.19
O 0.9729 0.2292 0.7935  1 Nb 2.01
O 0.4529 0.1970 0.0283  1 Nb 2.15, 2 O 2.19-2.35
O 0.5035 0.2632 0.4965  2 Nd 2.33-2.34, 2 Ac 2.50-2.51
Nd 0.5227 0.5215 0.2496  7 O 2.33-2.59
Nd 0.4773 0.4785 0.7504  7 O 2.33-2.59
Nb 0.0000 0.0000 0.0000  6 O 2.01-2.15
Ac 0.0000 0.0000 0.5000  8 O 2.50-2.68

Calculated values
For the formation energy (no corrections), the calculation gives -2.7244 eV per atom. The calculation puts the electronic total energy at -8.01 eV per atom.


Record 16
An optimized crystal structure of AcNdNb2O8. Source: the Alexandria database, functional PBE.

a = 5.4725 Å, b = 5.4725 Å, c = 7.0763 Å
α = 112.75°, β = 112.75°, γ = 90.00°
Closest atoms and distances in Å follow each position.
Fractional coordinates of all 12 atoms:
O 0.0130 0.4142 0.3253  1 Nb 1.89
O 0.0889 0.9870 0.6747  1 Nb 1.89
O 0.7483 0.8280 0.1654  1 Nb 1.89
O 0.6627 0.2517 0.8346  1 Nb 1.89
O 0.1720 0.5829 0.8346  1 Nb 1.89
O 0.5858 0.6877 0.6747  1 Nb 1.89
O 0.3123 0.9111 0.3253  1 Nb 1.89
O 0.4171 0.3373 0.1654  1 Nb 1.89
Nb 0.2500 0.7500 0.5000  4 O 1.89
Nb 0.5000 0.5000 0.0000  4 O 1.89
Nd 0.0000 0.0000 0.0000  8 O 2.50-2.51
Ac 0.7500 0.2500 0.5000  8 O 2.58-2.59

Calculated values
For the formation energy (no corrections), the calculation gives -3.0664 eV per atom. The calculation puts the electronic total energy at -8.79 eV per atom.


Record 17
An optimized crystal structure of Ac2NdNbO8. Source: the Alexandria database, functional PBE.

a = 4.2934 Å, b = 5.6890 Å, c = 7.4308 Å
α = 90.00°, β = 90.00°, γ = 91.91°
Closest atoms and distances in Å follow each position.
Fractional coordinates of all 12 atoms:
Ac 0.5000 0.5000 0.7521  4 O 2.37-2.61
Ac 0.5000 0.5000 0.2479  4 O 2.37-2.61
O 0.5133 0.7548 0.5000  2 Ac 2.37, 2 Nd 2.47-2.65
O 0.0201 0.7641 0.7952  1 Nb 2.03
O 0.0202 0.7642 0.2048  1 Nb 2.03
O 0.4867 0.2452 0.5000  2 Ac 2.37, 2 Nd 2.47-2.65
O 0.9798 0.2358 0.7952  1 Nb 2.03
O 0.4627 0.1271 0.0002  1 O 1.49
O 0.9799 0.2359 0.2048  1 Nb 2.03
O 0.5373 0.8729 0.9998  1 O 1.49
Nd 0.0000 0.0000 0.5000  8 O 2.47-2.65
Nb 0.0000 0.0000 0.0000  6 O 2.03-2.09

Calculated values
For the formation energy (no corrections), the calculation gives -2.7708 eV per atom. The calculation puts the electronic total energy at -8.00 eV per atom.


Record 18
An optimized crystal structure of Ac2NbNi. Source: the Alexandria database, functional PBE.

a = 3.6755 Å, b = 3.6755 Å, c = 10.2804 Å
α = 79.70°, β = 79.70°, γ = 60.00°
Closest atoms and distances in Å follow each position.
Fractional coordinates of all 4 atoms:
Ni 0.5000 0.5000 0.5000  6 Ac 2.89
Ac 0.1016 0.1016 0.6953  3 Ni 2.89, 1 Nb 3.06
Ac 0.8984 0.8984 0.3047  3 Ni 2.89, 1 Nb 3.06
Nb 0.0000 0.0000 0.0000  2 Ac 3.06

Calculated values
The formation energy from the elements is 815 meV/atom. The calculation puts the electronic total energy at -5.20 eV per atom.